(1)
Compound: BeReRh
Source: Alexandria
Functional: PBE
Structure: optimized geometry

As for the energy relative to the lowest polymorph listed for this composition: 108.9 meV/atom. The value obtained for the density of states at the Fermi level is 0.7493 states/eV/atom. The size of the total moment is 0.00 μB/f.u. For the formation enthalpy at 0 K, the calculation gives -170.5 meV/atom. The theoretical density is 13.219 g cm⁻³.

The space group is P-1 (No. 2) and the conventional cell measures 4.084, 4.652 and 4.842 Å, with angles of 65.91, 65.79 and 70.02 degrees. The distinct sites, in fractional coordinates, are Be at (0.188, 0.289, 0.418), Re at (0.138, 0.743, 0.915) and Rh at (0.425, 0.797, 0.290).



(2)
Compound: PrNdPu2Bi4
Source: Alexandria
Functional: PBE
Structure: optimized geometry

The value obtained for the density of states at the Fermi level is 3.9424 states/eV/atom. The size of the total moment is 10.21 μB/f.u. For the formation enthalpy at 0 K, the calculation gives -634.6 meV/atom. The theoretical density is 9.812 g cm⁻³.

The space group is P2/m (No. 10) and the conventional cell measures 7.939, 4.582 and 7.940 Å, with angles of 90.00, 109.46 and 90.00 degrees. The distinct sites, in fractional coordinates, are Pr at (0.000, 0.000, 0.000), Nd at (0.000, 0.500, 0.500), Pu at (0.500, 0.000, 0.500), Pu at (0.500, 0.500, 0.000), Bi at (0.257, 0.000, 0.752) and Bi at (0.258, 0.500, 0.254).



(3)
Compound: Ca2BeAl
Source: Alexandria
Functional: PBE
Structure: optimized geometry

As for the energy relative to the lowest polymorph listed for this composition: 164.3 meV/atom. The value obtained for the density of states at the Fermi level is 0.7742 states/eV/atom. The size of the total moment is 0.00 μB/f.u. For the formation enthalpy at 0 K, the calculation gives 157.4 meV/atom. The theoretical density is 1.986 g cm⁻³.

The space group is P4mm (No. 99) and the conventional cell measures 3.344, 3.344 and 8.685 Å, with angles of 90.00, 90.00 and 90.00 degrees. The distinct sites, in fractional coordinates, are Ca at (0.000, 0.000, 0.000), Ca at (0.500, 0.500, 0.380), Be at (0.500, 0.500, 0.764) and Al at (0.000, 0.000, 0.636).



(4)
Compound: NaSrP2Pd5
Source: Alexandria
Functional: PBE
Structure: optimized geometry

The value obtained for the density of states at the Fermi level is 0.2918 states/eV/atom. The size of the total moment is 0.00 μB/f.u. For the formation enthalpy at 0 K, the calculation gives -559.4 meV/atom. The theoretical density is 7.417 g cm⁻³.

The space group is P4/mmm (No. 123) and the conventional cell measures 4.238, 4.238 and 8.783 Å, with angles of 90.00, 90.00 and 90.00 degrees. The distinct sites, in fractional coordinates, are Na at (0.000, 0.000, 0.000), Sr at (0.000, 0.000, 0.500), P at (0.500, 0.500, 0.126), Pd at (0.000, 0.500, 0.248) and Pd at (0.500, 0.500, 0.500).



(5)
Compound: HfMgAg
Source: Alexandria
Functional: PBE
Structure: optimized geometry

The value obtained for the density of states at the Fermi level is 0.9222 states/eV/atom. The size of the total moment is 0.15 μB/f.u. For the formation enthalpy at 0 K, the calculation gives 14.7 meV/atom. The theoretical density is 8.603 g cm⁻³.

The space group is I4mm (No. 107) and the conventional cell measures 3.068, 3.068 and 12.743 Å, with angles of 90.00, 90.00 and 90.00 degrees. The distinct sites, in fractional coordinates, are Hf at (0.000, 0.000, 0.000), Mg at (0.000, 0.000, 0.315) and Ag at (0.000, 0.000, 0.663).



(6)
Compound: NaIn2PbCl5
Source: Alexandria
Functional: PBE
Structure: optimized geometry

The value obtained for the density of states at the Fermi level is 0.0000 states/eV/atom. The size of the total moment is 0.00 μB/f.u. The formation energy (no corrections) comes out at -1.13 eV per atom. The theoretical density is 3.759 g cm⁻³.

The space group is Cmc2_1 (No. 36) and the conventional cell measures 4.366, 18.414 and 14.002 Å, with angles of 90.00, 90.00 and 90.00 degrees. The distinct sites, in fractional coordinates, are Na at (0.000, 0.032, 0.000), In at (0.000, 0.377, 0.819), In at (0.000, 0.402, 0.215), Pb at (0.000, 0.279, 0.551), Cl at (0.000, 0.012, 0.316), Cl at (0.000, 0.117, 0.555), Cl at (0.000, 0.181, 0.923), Cl at (0.000, 0.228, 0.192) and Cl at (0.000, 0.431, 0.604).



(7)
Compound: ZnCdBr3
Source: Alexandria
Functional: PBE
Structure: optimized geometry

As for the energy relative to the lowest polymorph listed for this composition: 162.9 meV/atom. The value obtained for the density of states at the Fermi level is 0.5328 states/eV/atom. The size of the total moment is 0.89 μB/f.u. The formation energy (no corrections) comes out at -0.23 eV per atom. The theoretical density is 4.220 g cm⁻³.

The space group is Pm-3m (No. 221) and the conventional cell measures 5.477, 5.477 and 5.477 Å, with angles of 90.00, 90.00 and 90.00 degrees. The distinct sites, in fractional coordinates, are Zn at (0.000, 0.000, 0.000), Cd at (0.500, 0.500, 0.500) and Br at (0.000, 0.500, 0.500).



(8)
Compound: RbNiSe2Br
Source: Alexandria
Functional: PBE
Structure: optimized geometry

As for the energy relative to the lowest polymorph listed for this composition: 0.0 meV/atom. The value obtained for the density of states at the Fermi level is 0.8116 states/eV/atom. The size of the total moment is 1.93 μB/f.u. The formation energy (no corrections) comes out at -0.40 eV per atom. The theoretical density is 4.699 g cm⁻³.

The space group is P4/mmm (No. 123) and the conventional cell measures 4.726, 4.726 and 6.043 Å, with angles of 90.00, 90.00 and 90.00 degrees. The distinct sites, in fractional coordinates, are Rb at (0.000, 0.000, 0.000), Ni at (0.500, 0.500, 0.500), Se at (0.000, 0.500, 0.500) and Br at (0.500, 0.500, 0.000).